Here is Th2MgHg6 after structural relaxation from the Alexandria database. Energies are from PBE.

Values from the calculation:
formation enthalpy at 0 K	-0.2010	eV per atom
crystal system	trigonal
mass density	12.6	Mg/m³
offset from the most stable computed form	0.000	eV/atom
space-group type	P-3m1
electronic total energy	-2.2282	eV/atom
size of the total moment	0.00	μB per formula unit

Structure (POSCAR):
```
Th2MgHg6
1.0
6.557 0.000 0.000
-3.279 5.679 0.000
0.000 0.000 5.977
Th Mg Hg
2 1 6
Cartesian
0.000 3.786 0.969
3.279 1.893 5.008
0.000 0.000 0.000
0.000 2.038 4.084
-1.513 4.660 4.084
1.765 1.019 1.893
1.513 4.660 4.084
4.792 1.019 1.893
3.279 3.640 1.893
```